No. 1
A relaxed LaSbW4 crystal. Source: Alexandria via LeMat-Bulk, functional PBE.

Calculated values
E = -57.66 eV per cell
Space group = F-43m, No. 216
Density of states at the Fermi level = 1.041 states/eV per atom

```
LaSbW4
1.0
0.0000 3.9234 3.9234
3.9234 0.0000 3.9234
3.9234 3.9234 0.0000
La Sb W
1 1 4
direct
0.0000 0.0000 0.0000
0.7500 0.7500 0.7500
0.3746 0.3746 0.3746
0.3746 0.3746 0.8762
0.3746 0.8762 0.3746
0.8762 0.3746 0.3746
```

***

No. 2
A relaxed Dy5MgHg3 crystal. Source: Alexandria via LeMat-Bulk, functional PBE.

Calculated values
Formation enthalpy at 0 K = -0.32 eV/atom
E = -56.81 eV per cell
Space group = P6_3/mcm, No. 193
Density of states at the Fermi level = 1.023 states/eV per atom

```
Dy5MgHg3
1.0
9.0794 0.0000 0.0000
-4.5397 7.8630 0.0000
0.0000 0.0000 6.6935
Dy Mg Hg
10 2 6
direct
0.0000 0.3114 0.2500
0.0000 0.6886 0.7500
0.3114 0.0000 0.2500
0.3114 0.3114 0.7500
0.3333 0.6667 0.0000
0.3333 0.6667 0.5000
0.6667 0.3333 0.0000
0.6667 0.3333 0.5000
0.6886 0.0000 0.7500
0.6886 0.6886 0.2500
0.0000 0.0000 0.0000
0.0000 0.0000 0.5000
0.0000 0.3539 0.7500
0.0000 0.6461 0.2500
0.3539 0.0000 0.7500
0.3539 0.3539 0.2500
0.6461 0.0000 0.2500
0.6461 0.6461 0.7500
```

***

No. 3
A relaxed InOs2Ru crystal. Source: Alexandria via LeMat-Bulk, functional PBE.

Calculated values
Formation enthalpy at 0 K = 1.54 eV/atom
E = -56.65 eV per cell
Space group = I-42d, No. 122
Density of states at the Fermi level = 1.792 states/eV per atom

```
InOs2Ru
1.0
-3.0875 3.0875 4.9185
3.0875 -3.0875 4.9185
3.0875 3.0875 -4.9185
In Os Ru
2 4 2
direct
0.0000 0.0000 0.0000
0.7500 0.2500 0.5000
0.1677 0.6250 0.0427
0.3750 0.4177 0.5427
0.5823 0.1250 0.9573
0.8750 0.8323 0.4573
0.2500 0.7500 0.5000
0.5000 0.5000 0.0000
```

***

No. 4
A relaxed NbTcBr3 crystal. Source: Alexandria via LeMat-Bulk, functional PBE.

Calculated values
E = -21.82 eV per cell
Space group = Pm-3m, No. 221
Energy above the lowest structure with this stoichiometry = 0 meV/atom
Density of states at the Fermi level = 2.025 states/eV per atom

```
NbTcBr3
1.0
5.3389 0.0000 0.0000
0.0000 5.3389 0.0000
0.0000 0.0000 5.3389
Nb Tc Br
1 1 3
direct
0.0000 0.0000 0.0000
0.5000 0.5000 0.5000
0.0000 0.0000 0.5000
0.0000 0.5000 0.0000
0.5000 0.0000 0.0000
```

***

No. 5
A relaxed TaCdTe2 crystal. Source: Alexandria via LeMat-Bulk, functional PBE.

Calculated values
E = -16.67 eV per cell
Space group = Pmmm, No. 47
Density of states at the Fermi level = 0.726 states/eV per atom

```
TaCdTe2
1.0
3.5206 0.0000 0.0000
0.0000 4.7621 0.0000
0.0000 0.0000 5.6348
Ta Cd Te
1 1 2
direct
0.0000 0.0000 0.0000
0.5000 0.0000 0.5000
0.0000 0.5000 0.5000
0.5000 0.5000 0.0000
```

***

No. 6
A relaxed NpPt3 crystal. Source: Alexandria via LeMat-Bulk, functional PBE.

Calculated values
Formation enthalpy at 0 K = -0.60 eV/atom
E = -66.89 eV per cell
Space group = P6_3/mmc, No. 194
Density of states at the Fermi level = 5.606 states/eV per atom

```
NpPt3
1.0
5.7852 0.0000 0.0000
-2.8926 5.0101 0.0000
0.0000 0.0000 4.9577
Np Pt
2 6
direct
0.3333 0.6667 0.2500
0.6667 0.3333 0.7500
0.1638 0.3276 0.7500
0.1638 0.8362 0.7500
0.3276 0.1638 0.2500
0.6724 0.8362 0.7500
0.8362 0.1638 0.2500
0.8362 0.6724 0.2500
```